Here is a relaxed Sb2TeMoO crystal from Alexandria via LeMat-Bulk. Energies are from PBE with a Hubbard U.

Structure (POSCAR):
```
Sb2TeMoO
1.0
-0.295 -1.238 4.533
-3.722 -2.711 -0.983
3.074 -3.907 -0.866
Te Mo O Sb
1 1 1 2
Cartesian
1.537 -1.953 -0.433 Te
-0.472 -3.927 1.342 Mo
0.000 0.000 0.000 O
-0.148 -0.619 2.266 Sb
-1.861 -1.355 -0.491 Sb
```

Calculated values
Space-group type: No. 123
Uncorrected energy: -0.163 Ha/atom
M_tot: 3.4 μB per formula unit
Excess energy over the best structure of this formula in the dataset: 0 meV per atom